A plane-wave DFT calculation with PBE was carried out for YLuTh after structural relaxation.

Results
- SG = F-43m
- raw total energy (eV for the cell shown) = -15.82
- M_tot (μB/f.u.) = 0.01
- mass density (g cm⁻³) = 7.3

Lattice parameters (Å, degrees): 5.4140 5.4140 5.4140 60.00 60.00 60.00
Positions (direct):
1 Lu 0.2500 0.2500 0.2500
2 Th 0.7500 0.7500 0.7500
3 Y 0.0000 0.0000 0.0000